Here is a relaxed RbCu6Se4 crystal from Alexandria. Energies are from GGA-PBE.

The energy relative to the elements, uncorrected comes out at -0.272 eV per atom. The value obtained for the spin magnetization is 0.00 μB/atom. Its energy above the most stable polymorph in this dataset is 0.0 meV/atom.

It has space group I4/mmm (No. 139), with a = 4.087 Å, b = 4.087 Å, c = 25.830 Å, α = 90.00°, β = 90.00° and γ = 90.00°. The distinct sites, in fractional coordinates, are Rb at (0.000, 0.000, 0.000), Cu at (0.000, 0.500, 0.131), Cu at (0.000, 0.500, 0.250), Se at (0.000, 0.000, 0.194) and Se at (0.000, 0.000, 0.419).

***

Here is a relaxed Ti2NbHgN crystal from Alexandria. Energies are from GGA-PBE.

The energy relative to the elements, uncorrected comes out at -0.691 eV per atom. The value obtained for the spin magnetization is 0.00 μB/atom.

It has space group P4/mmm (No. 123), with a = 4.185 Å, b = 4.185 Å, c = 4.318 Å, α = 90.00°, β = 90.00° and γ = 90.00°. The distinct sites, in fractional coordinates, are Ti at (0.000, 0.500, 0.000), Nb at (0.000, 0.000, 0.500), Hg at (0.500, 0.500, 0.500) and N at (0.000, 0.000, 0.000).

***

- energy relative to the elements, uncorrected of number 2 (Ti2NbHgN)?
  -0.691 eV per atom